A plane-wave DFT calculation with PBE was carried out for V5MoW2 after structural relaxation.

Output
Energy of formation = 0.014 eV/atom
Energy above the most stable polymorph in this dataset = 90.3 meV per atom

Lattice parameters (Å, degrees): 5.160 10.184 4.432 90.00 90.00 90.00
Fractional coordinates of all 16 atoms:
V1 0.000 0.000 0.000
V2 0.141 0.250 0.000
V3 0.161 0.885 0.500
V4 0.339 0.385 0.500
V5 0.359 0.750 0.000
V6 0.500 0.500 0.000
V7 0.641 0.250 0.000
V8 0.661 0.615 0.500
V9 0.839 0.115 0.500
V10 0.859 0.750 0.000
Mo1 0.000 0.500 0.000
Mo2 0.500 0.000 0.000
W1 0.170 0.629 0.500
W2 0.330 0.129 0.500
W3 0.670 0.871 0.500
W4 0.830 0.371 0.500

---

A plane-wave DFT calculation with PBE was carried out for Ac2Zn4Si3Pd after structural relaxation.

Output
ΔE_f (raw) = -4.6 eV/f.u.

Lattice parameters (Å, degrees): 4.363 4.363 10.524 90.00 90.00 90.00
Fractional coordinates of all 10 atoms:
Ac1 0.000 0.500 0.249
Ac2 0.500 0.000 0.751
Zn1 0.000 0.000 0.500
Zn2 0.000 0.500 0.872
Zn3 0.500 0.000 0.128
Zn4 0.500 0.500 0.500
Si1 0.000 0.000 0.000
Si2 0.000 0.500 0.633
Si3 0.500 0.000 0.367
Pd1 0.500 0.500 0.000

---

A plane-wave DFT calculation with PBE was carried out for CdPbSe2 after structural relaxation.

Output
ΔE_f (raw) = -1.3 eV/f.u.

Lattice parameters (Å, degrees): 3.983 3.787 7.439 90.00 102.00 90.00
Fractional coordinates of all 4 atoms:
Cd1 0.000 0.000 0.000
Pb1 0.500 0.000 0.500
Se1 0.080 0.500 0.746
Se2 0.920 0.500 0.254

---

A plane-wave DFT calculation with PBE was carried out for ThSc2Cd after structural relaxation.

Output
Energy of formation = -0.020 eV/atom
Energy above the most stable polymorph in this dataset = 137.7 meV per atom

Lattice parameters (Å, degrees): 10.596 10.596 10.596 18.44 18.44 18.44
Fractional coordinates of all 4 atoms:
Th1 0.000 0.000 0.000
Sc1 0.577 0.577 0.577
Sc2 0.756 0.756 0.756
Cd1 0.166 0.166 0.166

---

A plane-wave DFT calculation with PBE was carried out for Zr2BiAu after structural relaxation.

Output
Energy of formation = -0.226 eV/atom

Lattice parameters (Å, degrees): 7.783 7.783 7.783 29.13 29.13 29.13
Fractional coordinates of all 4 atoms:
Zr1 0.000 0.000 0.000
Zr2 0.182 0.182 0.182
Bi1 0.758 0.758 0.758
Au1 0.590 0.590 0.590

---

A plane-wave DFT calculation with PBE was carried out for MgTi2O4 after structural relaxation.

Output
Energy above the most stable polymorph in this dataset = 75.7 meV per atom
ΔE_f (raw) = -19.2 eV/f.u.

Lattice parameters (Å, degrees): 5.805 10.538 5.012 90.00 90.00 90.00
Fractional coordinates of all 28 atoms:
Mg1 0.250 0.250 0.031
Mg2 0.250 0.750 0.333
Mg3 0.750 0.250 0.667
Mg4 0.750 0.750 0.969
Ti1 0.000 0.000 0.500
Ti2 0.000 0.500 0.500
Ti3 0.250 0.513 0.969
Ti4 0.250 0.987 0.969
Ti5 0.500 0.000 0.500
Ti6 0.500 0.500 0.500
Ti7 0.750 0.013 0.031
Ti8 0.750 0.487 0.031
O1 0.001 0.117 0.840
O2 0.001 0.383 0.840
O3 0.250 0.100 0.313
O4 0.250 0.400 0.313
O5 0.250 0.618 0.637
O6 0.250 0.882 0.637
O7 0.499 0.117 0.840
O8 0.499 0.383 0.840
O9 0.501 0.617 0.160
O10 0.501 0.883 0.160
O11 0.750 0.118 0.363
O12 0.750 0.382 0.363
O13 0.750 0.600 0.687
O14 0.750 0.900 0.687
O15 0.999 0.617 0.160
O16 0.999 0.883 0.160

---

A plane-wave DFT calculation with PBE was carried out for LaYLu2 after structural relaxation.

Output
Energy of formation = 0.081 eV/atom

Lattice parameters (Å, degrees): 4.067 4.067 7.849 90.00 90.00 90.00
Fractional coordinates of all 4 atoms:
La1 0.000 0.000 0.000
Y1 0.000 0.000 0.500
Lu1 0.500 0.500 0.262
Lu2 0.500 0.500 0.738

---

A plane-wave DFT calculation with PBE was carried out for Sm3Cd2Au4 after structural relaxation.

Output
Energy of formation = -0.625 eV/atom
Energy above the most stable polymorph in this dataset = 33.4 meV per atom

Lattice parameters (Å, degrees): 5.489 5.489 9.404 92.26 92.26 50.11
Fractional coordinates of all 9 atoms:
Sm1 0.000 0.000 0.000
Sm2 0.363 0.363 0.387
Sm3 0.637 0.637 0.613
Cd1 0.336 0.336 0.774
Cd2 0.664 0.664 0.226
Au1 0.067 0.067 0.370
Au2 0.315 0.315 0.078
Au3 0.685 0.685 0.922
Au4 0.933 0.933 0.630

---

A plane-wave DFT calculation with PBE was carried out for LaTlS3 after structural relaxation.

Output
Energy above the most stable polymorph in this dataset = 0.0 meV per atom
ΔE_f (raw) = -5.5 eV/f.u.

Lattice parameters (Å, degrees): 8.866 8.866 7.448 90.00 90.00 151.99
Fractional coordinates of all 10 atoms:
La1 0.196 0.804 0.750
La2 0.804 0.196 0.250
Tl1 0.441 0.559 0.750
Tl2 0.559 0.441 0.250
S1 0.022 0.978 0.750
S2 0.332 0.668 0.507
S3 0.332 0.668 0.993
S4 0.668 0.332 0.007
S5 0.668 0.332 0.493
S6 0.978 0.022 0.250

---

A plane-wave DFT calculation with PBE was carried out for PIrRh4 after structural relaxation.

Output
Energy of formation = 0.704 eV/atom

Lattice parameters (Å, degrees): 5.076 5.076 5.076 60.00 60.00 60.00
Fractional coordinates of all 6 atoms:
P1 0.000 0.000 0.000
Ir1 0.250 0.250 0.250
Rh1 0.126 0.625 0.625
Rh2 0.625 0.126 0.625
Rh3 0.625 0.625 0.126
Rh4 0.625 0.625 0.625

---

A plane-wave DFT calculation with PBE was carried out for PmPr4Dy2Y2 after structural relaxation.

Output
Energy of formation = 0.016 eV/atom

Lattice parameters (Å, degrees): 9.607 9.607 8.913 90.10 90.10 21.88
Fractional coordinates of all 9 atoms:
Pm1 0.000 0.000 0.000
Pr1 0.223 0.223 0.670
Pr2 0.444 0.444 0.332
Pr3 0.556 0.556 0.668
Pr4 0.777 0.777 0.330
Dy1 0.333 0.333 0.999
Dy2 0.667 0.667 0.001
Y1 0.111 0.111 0.329
Y2 0.889 0.889 0.671

---

A plane-wave DFT calculation with PBE was carried out for Fe3B after structural relaxation.

Output
Energy of formation = 0.114 eV/atom

Lattice parameters (Å, degrees): 3.415 3.415 3.415 90.00 90.00 90.00
Fractional coordinates of all 4 atoms:
Fe1 0.000 0.000 0.500
Fe2 0.000 0.500 0.000
Fe3 0.500 0.000 0.000
B1 0.500 0.500 0.500

---

Number 1: ρ 10.24 g cm⁻³. Number 2: ρ 7.51 g cm⁻³. Number 3: ρ 7.23 g cm⁻³. Number 4: ρ 6.94 g cm⁻³. Number 5: ρ 9.88 g cm⁻³. Number 6: ρ 3.99 g cm⁻³. Number 7: ρ 7.39 g cm⁻³. Number 8: ρ 11.19 g cm⁻³. Number 9: ρ 5.31 g cm⁻³. Number 10: ρ 11.40 g cm⁻³. Number 11: ρ 6.56 g cm⁻³. Number 12: ρ 7.44 g cm⁻³.